Entry 1:
The following is a DFT calculation (PBE) of a relaxed structure of Ho6MgIn.

```
data_Ho6MgIn
_space_group_name_H-M_alt 'R -3'
_space_group_IT_number 148
_space_group_name_Hall '-R 3'
_cell_length_a 8.7589
_cell_length_b 8.7589
_cell_length_c 10.4911
_cell_angle_alpha 90.00
_cell_angle_beta 90.00
_cell_angle_gamma 120.00
loop_
_atom_site_label
_atom_site_fract_x
_atom_site_fract_y
_atom_site_fract_z
Ho1 0.0120 0.2508 0.2344
Mg1 0.0000 0.0000 0.5000
In1 0.0000 0.0000 0.0000
```

## Properties
* relative energy among the computed polymorphs: 0.058 eV/atom

***

Entry 2:
The following is a DFT calculation (PBE) of a relaxed structure of Ho2MgIn3.

```
data_Ho2MgIn3
_space_group_name_H-M_alt 'F m m m'
_space_group_IT_number 69
_space_group_name_Hall '-F 2 2'
_cell_length_a 6.9916
_cell_length_b 9.9451
_cell_length_c 17.2335
_cell_angle_alpha 90.00
_cell_angle_beta 90.00
_cell_angle_gamma 90.00
loop_
_atom_site_label
_atom_site_fract_x
_atom_site_fract_y
_atom_site_fract_z
Ho1 0.2480 0.0000 0.0000
Ho2 0.2500 0.2500 0.2500
Mg1 0.0000 0.0000 0.3327
In1 0.0000 0.0000 0.1686
In2 0.0000 0.2471 0.4156
```

***

Entry 3:
The following is a DFT calculation (PBE) of a relaxed structure of Ho7Mg2In2.

```
data_Ho7Mg2In2
_space_group_name_H-M_alt 'C m m m'
_space_group_IT_number 65
_space_group_name_Hall '-C 2 2'
_cell_length_a 6.8414
_cell_length_b 11.2647
_cell_length_c 8.7428
_cell_angle_alpha 90.00
_cell_angle_beta 90.00
_cell_angle_gamma 90.00
loop_
_atom_site_label
_atom_site_fract_x
_atom_site_fract_y
_atom_site_fract_z
Ho1 0.0000 0.0000 0.0000
Ho2 0.0000 0.5000 0.2106
Ho3 0.2500 0.2500 0.3033
Mg1 0.0000 0.2757 0.0000
In1 0.2178 0.0000 0.5000
```

***

Entry 4:
The following is a DFT calculation (PBE) of a relaxed structure of HoMgIn.

```
data_HoMgIn
_space_group_name_H-M_alt 'P -6 2 m'
_space_group_IT_number 189
_space_group_name_Hall 'P -6 -2'
_cell_length_a 7.4917
_cell_length_b 7.4917
_cell_length_c 4.6810
_cell_angle_alpha 90.00
_cell_angle_beta 90.00
_cell_angle_gamma 120.00
loop_
_atom_site_label
_atom_site_fract_x
_atom_site_fract_y
_atom_site_fract_z
Ho1 0.0000 0.5642 0.0000
Mg1 0.0000 0.2415 0.5000
In1 0.0000 0.0000 0.0000
In2 0.3333 0.6667 0.5000
```

***

Entry 5:
The following is a DFT calculation (PBE) of a relaxed structure of Ho4MgIn2.

```
data_Ho4MgIn2
_space_group_name_H-M_alt 'P 1 21/m 1'
_space_group_IT_number 11
_cell_length_a 7.4937
_cell_length_b 6.4336
_cell_length_c 8.9276
_cell_angle_alpha 90.00
_cell_angle_beta 112.37
_cell_angle_gamma 90.00
loop_
_space_group_symop_operation_xyz
'x,y,z'
'-x,-y,-z'
'-x,y+1/2,-z'
'x,-y+1/2,z'
loop_
_atom_site_label
_atom_site_fract_x
_atom_site_fract_y
_atom_site_fract_z
Ho1 0.0770 0.2500 0.0486
Ho2 0.1446 0.0041 0.7185
Ho3 0.3024 0.7500 0.3324
Mg1 0.4937 0.7500 0.7155
In1 0.2439 0.2500 0.4466
In2 0.4391 0.7500 0.0388
```

## Properties
* relative energy among the computed polymorphs: 0.108 eV/atom

***

Entry 6:
The following is a DFT calculation (PBE) of a relaxed structure of NaHoMgIn.

```
data_NaHoMgIn
_space_group_name_H-M_alt 'F -4 3 m'
_space_group_IT_number 216
_space_group_name_Hall 'F -4 2 3'
_cell_length_a 7.3664
_cell_length_b 7.3664
_cell_length_c 7.3664
_cell_angle_alpha 90.00
_cell_angle_beta 90.00
_cell_angle_gamma 90.00
loop_
_atom_site_label
_atom_site_fract_x
_atom_site_fract_y
_atom_site_fract_z
Na1 0.0000 0.0000 0.0000
Ho1 0.2500 0.2500 0.2500
Mg1 0.2500 0.2500 0.7500
In1 0.0000 0.0000 0.5000
```

***

Entry 7:
The following is a DFT calculation (PBE) of a relaxed structure of NdHo2Mg2In2.

```
data_NdHo2Mg2In2
_space_group_name_H-M_alt 'R -3 m'
_space_group_IT_number 166
_space_group_name_Hall '-R 3 2"'
_cell_length_a 5.0152
_cell_length_b 5.0152
_cell_length_c 26.4149
_cell_angle_alpha 90.00
_cell_angle_beta 90.00
_cell_angle_gamma 120.00
loop_
_atom_site_label
_atom_site_fract_x
_atom_site_fract_y
_atom_site_fract_z
Nd1 0.0000 0.0000 0.0000
Ho1 0.0000 0.0000 0.1306
Mg1 0.0000 0.0000 0.4056
In1 0.0000 0.0000 0.2599
```

***

Entry 8:
The following is a DFT calculation (PBE) of a relaxed structure of HoMgInNi.

```
data_HoMgInNi
_space_group_name_H-M_alt 'F -4 3 m'
_space_group_IT_number 216
_space_group_name_Hall 'F -4 2 3'
_cell_length_a 6.8821
_cell_length_b 6.8821
_cell_length_c 6.8821
_cell_angle_alpha 90.00
_cell_angle_beta 90.00
_cell_angle_gamma 90.00
loop_
_atom_site_label
_atom_site_fract_x
_atom_site_fract_y
_atom_site_fract_z
Ho1 0.0000 0.0000 0.0000
Mg1 0.0000 0.0000 0.5000
In1 0.2500 0.2500 0.2500
Ni1 0.2500 0.2500 0.7500
```

***

Entry 9:
The following is a DFT calculation (PBE) of a relaxed structure of HoMgInPb.

```
data_HoMgInPb
_space_group_name_H-M_alt 'F -4 3 m'
_space_group_IT_number 216
_space_group_name_Hall 'F -4 2 3'
_cell_length_a 7.5001
_cell_length_b 7.5001
_cell_length_c 7.5001
_cell_angle_alpha 90.00
_cell_angle_beta 90.00
_cell_angle_gamma 90.00
loop_
_atom_site_label
_atom_site_fract_x
_atom_site_fract_y
_atom_site_fract_z
Ho1 0.0000 0.0000 0.0000
Mg1 0.0000 0.0000 0.5000
In1 0.2500 0.2500 0.7500
Pb1 0.2500 0.2500 0.2500
```

## Properties
* relative energy among the computed polymorphs: 0.151 eV/atom

***

Entry 10:
The following is a DFT calculation (PBE) of a relaxed structure of HoMgInPb.

```
data_HoMgInPb
_space_group_name_H-M_alt 'P m m m'
_space_group_IT_number 47
_cell_length_a 4.4894
_cell_length_b 4.6707
_cell_length_c 4.8397
_cell_angle_alpha 90.00
_cell_angle_beta 90.00
_cell_angle_gamma 90.00
loop_
_space_group_symop_operation_xyz
'x,y,z'
'-x,-y,-z'
'-x,-y,z'
'x,y,-z'
'x,-y,-z'
'-x,y,z'
'-x,y,-z'
'x,-y,z'
loop_
_atom_site_label
_atom_site_fract_x
_atom_site_fract_y
_atom_site_fract_z
Ho1 0.0000 0.0000 0.0000
Mg1 0.0000 0.5000 0.5000
In1 0.5000 0.0000 0.5000
Pb1 0.5000 0.5000 0.0000
```

## Properties
* relative energy among the computed polymorphs: 0.000 eV/atom

***

Entry 11:
The following is a DFT calculation (PBE) of a relaxed structure of HoMgIn2Pd4.

```
data_HoMgIn2Pd4
_space_group_name_H-M_alt 'R -3 m'
_space_group_IT_number 166
_space_group_name_Hall '-R 3 2"'
_cell_length_a 4.7141
_cell_length_b 4.7141
_cell_length_c 22.7623
_cell_angle_alpha 90.00
_cell_angle_beta 90.00
_cell_angle_gamma 120.00
loop_
_atom_site_label
_atom_site_fract_x
_atom_site_fract_y
_atom_site_fract_z
Ho1 0.0000 0.0000 0.0000
Mg1 0.0000 0.0000 0.5000
In1 0.0000 0.0000 0.2489
Pd1 0.0000 0.0000 0.1266
Pd2 0.0000 0.0000 0.3783
```

***

Entry 12:
The following is a DFT calculation (PBE) of a relaxed structure of HoMgInPd.

```
data_HoMgInPd
_space_group_name_H-M_alt 'F -4 3 m'
_space_group_IT_number 216
_space_group_name_Hall 'F -4 2 3'
_cell_length_a 6.9857
_cell_length_b 6.9857
_cell_length_c 6.9857
_cell_angle_alpha 90.00
_cell_angle_beta 90.00
_cell_angle_gamma 90.00
loop_
_atom_site_label
_atom_site_fract_x
_atom_site_fract_y
_atom_site_fract_z
Ho1 0.0000 0.0000 0.0000
Mg1 0.0000 0.0000 0.5000
In1 0.2500 0.2500 0.7500
Pd1 0.2500 0.2500 0.2500
```

***

Number 1: energy of formation -0.059 eV per atom, total moment 0.00 μB/f.u.. Number 2: energy of formation -0.383 eV per atom, total moment 0.00 μB/f.u.. Number 3: energy of formation 0.142 eV per atom, total moment 0.00 μB/f.u.. Number 4: energy of formation -0.384 eV per atom, total moment 0.00 μB/f.u.. Number 5: energy of formation -0.127 eV per atom, total moment 0.00 μB/f.u.. Number 6: energy of formation -0.094 eV per atom, total moment 0.00 μB/f.u.. Number 7: energy of formation -0.239 eV per atom, total moment 0.00 μB/f.u.. Number 8: energy of formation -0.243 eV per atom, total moment 0.00 μB/f.u.. Number 9: energy of formation -0.195 eV per atom, total moment 0.00 μB/f.u.. Number 10: energy of formation -0.346 eV per atom, total moment 0.00 μB/f.u.. Number 11: energy of formation -0.736 eV per atom, total moment 0.00 μB/f.u.. Number 12: energy of formation -0.554 eV per atom, total moment 0.00 μB/f.u..